A:
LiTbZr | GGA-PBE | optimized geometry

Unit cell a=3.2925 b=3.2925 c=8.1270 alpha=90.00 beta=90.00 gamma=120.00
Last column: nearest neighbours and their distance in Å.
Sites, in units of the cell vectors:
Li: 0.0000 0.0000 0.0116  3 Zr 3.23, 6 Li 3.29, 3 Tb 3.46
Zr: 0.6667 0.3333 0.3332  3 Li 3.23, 3 Tb 3.23, 6 Zr 3.29
Tb: 0.3333 0.6667 0.6552  3 Zr 3.23, 6 Tb 3.29, 3 Li 3.46

Space group = P3m1, No. 156
Total moment = 0.0 μB/cell

***

B:
LiTbZr | GGA-PBE | optimized geometry

Unit cell a=3.3395 b=3.3395 c=7.0317 alpha=103.74 beta=103.74 gamma=90.00
Last column: nearest neighbours and their distance in Å.
Sites, in units of the cell vectors:
Zr: 0.0038 0.0038 0.0076  4 Li 3.13, 4 Tb 3.23, 4 Zr 3.34
Li: 0.6588 0.6588 0.3176  4 Zr 3.13, 4 Li 3.34, 4 Tb 3.34
Tb: 0.3374 0.3374 0.6748  4 Zr 3.23, 4 Tb 3.34, 4 Li 3.34

Space group = I4mm, No. 107
Total moment = 0.0 μB/cell

***

C:
LiTbZr | GGA-PBE | optimized geometry

Unit cell a=4.0348 b=4.0348 c=10.4251 alpha=90.00 beta=90.00 gamma=90.00
Last column: nearest neighbours and their distance in Å.
Sites, in units of the cell vectors:
Zr: 0.0000 0.0000 0.0000  4 Zr 2.85
Zr: 0.5000 0.5000 0.0000  4 Zr 2.85
Li: 0.5000 0.0000 0.5634  4 Li 3.14, 5 Tb 3.26-3.45
Tb: 0.0000 0.5000 0.7496  5 Li 3.26-3.45, 4 Zr 3.30
Tb: 0.5000 0.0000 0.2504  5 Li 3.26-3.45, 4 Zr 3.30
Li: 0.0000 0.5000 0.4366  4 Li 3.14, 5 Tb 3.26-3.45

Space group = P4/nmm, No. 129
Total moment = 0.0 μB/cell

***

Which one sits at the bottom of the stability order? C does.

***

A:
LiTb2Zr | GGA-PBE | optimized geometry

Unit cell a=3.3825 b=3.3825 c=11.2001 alpha=81.31 beta=81.31 gamma=60.00
Last column: nearest neighbours and their distance in Å.
Sites, in units of the cell vectors:
Zr: 0.0000 0.0000 0.0000  6 Tb 3.29, 6 Zr 3.38
Li: 0.5000 0.5000 0.5000  6 Li 3.38, 6 Tb 3.47
Tb: 0.7466 0.7466 0.7601  3 Zr 3.29, 6 Tb 3.38, 3 Li 3.47
Tb: 0.2534 0.2534 0.2399  3 Zr 3.29, 6 Tb 3.38, 3 Li 3.47

Space group = R-3m, No. 166
Total moment = 0.0 μB/cell

***

B:
LiTb2Zr | GGA-PBE | optimized geometry

Unit cell a=3.4432 b=3.4432 c=9.0092 alpha=90.00 beta=90.00 gamma=90.00
Last column: nearest neighbours and their distance in Å.
Sites, in units of the cell vectors:
Li: 0.5000 0.5000 0.0000  8 Tb 3.33, 4 Li 3.44
Tb: 0.0000 0.0000 0.2518  4 Zr 3.31, 4 Li 3.33, 4 Tb 3.44
Tb: 0.0000 0.0000 0.7482  4 Zr 3.31, 4 Li 3.33, 4 Tb 3.44
Zr: 0.5000 0.5000 0.5000  8 Tb 3.31, 4 Zr 3.44

Space group = P4/mmm, No. 123
Total moment = 0.0 μB/cell

***

C:
LiTb2Zr | GGA-PBE | optimized geometry

Unit cell a=3.4404 b=5.5325 c=5.5325 alpha=90.00 beta=90.00 gamma=90.00
Last column: nearest neighbours and their distance in Å.
Sites, in units of the cell vectors:
Li: 0.5000 0.0000 0.0000  8 Tb 3.26, 2 Li 3.44
Zr: 0.5000 0.5000 0.5000  8 Tb 3.26, 2 Zr 3.44
Tb: 0.0000 0.5000 0.0000  4 Li 3.26, 4 Zr 3.26, 2 Tb 3.44
Tb: 0.0000 0.0000 0.5000  4 Zr 3.26, 4 Li 3.26, 2 Tb 3.44

Space group = P4/mmm, No. 123
Total moment = 0.0 μB/cell

***

Which one sits at the bottom of the stability order? C does.

***

A:
Li5Tc3 | GGA-PBE | optimized geometry

Unit cell a=8.0388 b=8.0388 c=4.2599 alpha=90.00 beta=90.00 gamma=120.00
Last column: nearest neighbours and their distance in Å.
Sites, in units of the cell vectors:
Tc: 0.5730 0.0000 0.2500  2 Tc 2.43, 6 Li 2.62-2.69
Tc: 0.4270 0.4270 0.2500  2 Tc 2.43, 6 Li 2.62-2.69
Li: 0.2230 0.0000 0.2500  5 Tc 2.69-2.97, 4 Li 2.78
Li: 0.7770 0.0000 0.7500  5 Tc 2.69-2.97, 4 Li 2.78
Li: 0.0000 0.7770 0.7500  5 Tc 2.69-2.97, 4 Li 2.78
Li: 0.2230 0.2230 0.7500  5 Tc 2.69-2.97, 4 Li 2.78
Li: 0.3333 0.6667 0.5000  2 Li 2.13
Li: 0.6667 0.3333 0.5000  2 Li 2.13
Li: 0.3333 0.6667 0.0000  2 Li 2.13
Tc: 0.0000 0.4270 0.7500  2 Tc 2.43, 6 Li 2.62-2.69
Li: 0.7770 0.7770 0.2500  5 Tc 2.69-2.97, 4 Li 2.78
Tc: 0.5730 0.5730 0.7500  2 Tc 2.43, 6 Li 2.62-2.69
Tc: 0.0000 0.5730 0.2500  2 Tc 2.43, 6 Li 2.62-2.69
Li: 0.6667 0.3333 0.0000  2 Li 2.13
Tc: 0.4270 0.0000 0.7500  2 Tc 2.43, 6 Li 2.62-2.69
Li: 0.0000 0.2230 0.2500  5 Tc 2.69-2.97, 4 Li 2.78

Space group = P6_3/mcm, No. 193
Total moment = 0.0 μB/cell

***

B:
Li5Tc3 | GGA-PBE | optimized geometry

Unit cell a=5.6079 b=5.5945 c=9.5991 alpha=96.32 beta=96.39 gamma=128.36
Last column: nearest neighbours and their distance in Å.
Sites, in units of the cell vectors:
Tc: 0.0931 0.0873 0.5000  2 Tc 2.44
Li: 0.8537 0.0938 0.7553  4 Li 2.42-2.63
Tc: 0.8126 0.8125 0.0000  4 Tc 2.44-2.55
Li: 0.8331 0.5940 0.2450  4 Li 2.42-2.63
Tc: 0.6330 0.1328 0.0004  4 Tc 2.44-2.55
Li: 0.0850 0.5855 0.5000  2 Li 2.41-2.47
Li: 0.3335 0.0944 0.2449  5 Li 2.42-2.71
Tc: 0.1326 0.6324 0.9996  4 Tc 2.44-2.55
Li: 0.5914 0.0924 0.5000  2 Li 2.41-2.47
Li: 0.3532 0.5934 0.7552  4 Li 2.42-2.63
Tc: 0.3126 0.3125 0.0000  4 Tc 2.44-2.55
Li: 0.5984 0.8385 0.2447  4 Li 2.42-2.63
Li: 0.0881 0.8490 0.7550  4 Li 2.42-2.63
Tc: 0.5864 0.5938 0.5000  2 Tc 2.44
Li: 0.0979 0.3381 0.2448  4 Li 2.42-2.63
Li: 0.5886 0.3495 0.7551  5 Li 2.42-2.71

Space group = Cm, No. 8
Total moment = 0.0 μB/cell

***

Which one sits at the bottom of the stability order? A does.

***

A:
Li5Tc | GGA-PBE | optimized geometry

Unit cell a=8.0443 b=8.0443 c=4.7429 alpha=90.00 beta=90.00 gamma=161.78
Last column: nearest neighbours and their distance in Å.
Sites, in units of the cell vectors:
Li: 0.7592 0.2408 0.5000  4 Li 2.55-2.80, 2 Tc 2.76
Li: 0.6653 0.3347 0.0000  6 Li 2.55-2.80
Li: 0.0166 0.9834 0.0000  4 Li 2.55-2.68, 2 Tc 2.76
Tc: 0.1051 0.8949 0.5000  2 Tc 2.55, 6 Li 2.76-2.81
Li: 0.3397 0.6603 0.0000  2 Li 2.55
Li: 0.4474 0.5526 0.5000  2 Li 2.55, 2 Tc 2.81

Space group = Amm2, No. 38
Total moment = 0.9 μB/cell

***

B:
Li5Tc | GGA-PBE | optimized geometry

Unit cell a=5.5463 b=5.5463 c=7.1073 alpha=77.32 beta=77.32 gamma=26.58
Last column: nearest neighbours and their distance in Å.
Sites, in units of the cell vectors:
Li: 0.0065 0.0065 0.9795  5 Li 2.55-2.82, 1 Tc 2.83
Li: 0.3427 0.3427 0.3024  4 Li 2.55-2.83, 1 Tc 2.71
Li: 0.6749 0.6749 0.6710  5 Li 2.55-2.82, 2 Tc 2.81
Li: 0.6133 0.6133 0.2756  4 Li 2.55-2.83, 2 Tc 2.80
Tc: 0.2711 0.2711 0.9606  2 Tc 2.55, 8 Li 2.71-2.83
Li: 0.9247 0.9247 0.6442  4 Li 2.55-2.72, 2 Tc 2.78

Space group = Cm, No. 8
Total moment = 0.6 μB/cell

***

Which one sits at the bottom of the stability order? A does.